[1]
Pm2Tm3Sn3: relaxed, PBE.

The energy relative to the elements is -669 meV per atom. The calculation puts the magnetization at 0.00 μB per formula unit. Its density of states at the Fermi level is 4.32 states/eV/f.u. For the calculated volume, the calculation gives 465 Å³/cell. The calculated total energy comes out at -80.55 eV for the cell shown.

a = 6.631 Å, b = 9.000 Å, c = 9.000 Å
α = 120.00°, β = 90.00°, γ = 90.00°
Element x y z (fractional)
Tm  0.750  0.236  0.000
Tm  0.250  0.000  0.764
Tm  0.250  0.764  0.000
Tm  0.750  0.764  0.764
Tm  0.250  0.236  0.236
Tm  0.750  0.000  0.236
Sn  0.250  0.390  0.000
Sn  0.750  0.000  0.610
Sn  0.250  0.610  0.610
Sn  0.250  0.000  0.390
Sn  0.750  0.610  0.000
Sn  0.750  0.390  0.390
Pm  0.000  0.333  0.667
Pm  0.500  0.333  0.667
Pm  0.500  0.667  0.333
Pm  0.000  0.667  0.333

=====

[2]
Pm5Tm2Sn4: relaxed, PBE.

The energy relative to the elements is -209 meV per atom. The calculation puts the magnetization at 0.00 μB per formula unit. Its density of states at the Fermi level is 13.81 states/eV/f.u. For the calculated volume, the calculation gives 341 Å³/cell. The calculated total energy comes out at -51.01 eV for the cell shown.

a = 3.467 Å, b = 8.246 Å, c = 12.112 Å
α = 85.02°, β = 98.23°, γ = 90.00°
Element x y z (fractional)
Pm  0.146  0.911  0.293
Pm  0.770  0.732  0.540
Pm  0.500  0.000  0.000
Pm  0.230  0.268  0.460
Pm  0.854  0.089  0.707
Tm  0.916  0.691  0.831
Tm  0.084  0.309  0.169
Sn  0.657  0.556  0.313
Sn  0.956  0.325  0.911
Sn  0.044  0.675  0.089
Sn  0.343  0.444  0.687

=====

[3]
PmTmSn: relaxed, PBE.

The energy relative to the elements is -385 meV per atom. The calculation puts the magnetization at 0.00 μB per formula unit. Its density of states at the Fermi level is 3.08 states/eV/f.u. For the calculated volume, the calculation gives 97 Å³/cell. The calculated total energy comes out at -14.38 eV for the cell shown. Its energy relative to the lowest polymorph listed for this composition is 0.68 eV per formula unit.

a = 5.164 Å, b = 5.164 Å, c = 5.164 Å
α = 60.00°, β = 60.00°, γ = 60.00°
Element x y z (fractional)
Tm  0.000  0.000  0.000
Pm  0.500  0.500  0.500
Sn  0.250  0.250  0.250

=====

[4]
Pm2Tm3Sn4: relaxed, PBE.

The energy relative to the elements is -608 meV per atom. The calculation puts the magnetization at 0.00 μB per formula unit. Its density of states at the Fermi level is 4.77 states/eV/f.u. For the calculated volume, the calculation gives 524 Å³/cell. The calculated total energy comes out at -88.80 eV for the cell shown.

a = 6.944 Å, b = 8.877 Å, c = 9.178 Å
α = 90.00°, β = 112.23°, γ = 90.00°
Element x y z (fractional)
Sn  0.314  0.445  0.627
Sn  0.718  0.750  0.937
Sn  0.218  0.750  0.937
Sn  0.814  0.055  0.627
Sn  0.686  0.555  0.373
Sn  0.782  0.250  0.063
Sn  0.186  0.945  0.373
Sn  0.282  0.250  0.063
Pm  0.111  0.589  0.222
Pm  0.389  0.089  0.778
Pm  0.611  0.911  0.222
Pm  0.889  0.411  0.778
Tm  0.000  0.000  0.000
Tm  0.457  0.250  0.414
Tm  0.957  0.250  0.414
Tm  0.500  0.500  0.000
Tm  0.543  0.750  0.586
Tm  0.043  0.750  0.586

=====

[5]
Pm2TmSn2: relaxed, PBE.

The energy relative to the elements is -711 meV per atom. The calculation puts the magnetization at 0.00 μB per formula unit. Its density of states at the Fermi level is 4.35 states/eV/f.u. For the calculated volume, the calculation gives 296 Å³/cell. The calculated total energy comes out at -51.07 eV for the cell shown. Its energy relative to the lowest polymorph listed for this composition is 0.00 eV per formula unit.

a = 4.539 Å, b = 8.069 Å, c = 8.069 Å
α = 90.00°, β = 90.00°, γ = 90.00°
Element x y z (fractional)
Sn  0.000  0.631  0.131
Sn  0.000  0.369  0.869
Sn  0.000  0.869  0.631
Sn  0.000  0.131  0.369
Pm  0.500  0.829  0.329
Pm  0.500  0.171  0.671
Pm  0.500  0.329  0.171
Pm  0.500  0.671  0.829
Tm  0.000  0.500  0.500
Tm  0.000  0.000  0.000

=====

[6]
Pm3Tm2Sn2: relaxed, PBE.

The energy relative to the elements is -289 meV per atom. The calculation puts the magnetization at 0.29 μB per formula unit. Its density of states at the Fermi level is 8.17 states/eV/f.u. For the calculated volume, the calculation gives 214 Å³/cell. The calculated total energy comes out at -33.22 eV for the cell shown.

a = 3.493 Å, b = 7.817 Å, c = 8.840 Å
α = 114.56°, β = 101.40°, γ = 90.00°
Element x y z (fractional)
Pm  0.222  0.709  0.443
Pm  0.778  0.291  0.557
Pm  0.000  0.500  0.000
Sn  0.398  0.118  0.795
Sn  0.602  0.882  0.205
Tm  0.088  0.200  0.176
Tm  0.912  0.800  0.824

=====

[7]
Pm3Tm2Sn4: relaxed, PBE.

The energy relative to the elements is -590 meV per atom. The calculation puts the magnetization at 0.60 μB per formula unit. Its density of states at the Fermi level is 7.67 states/eV/f.u. For the calculated volume, the calculation gives 271 Å³/cell. The calculated total energy comes out at -44.51 eV for the cell shown.

a = 4.789 Å, b = 6.207 Å, c = 9.900 Å
α = 93.95°, β = 90.00°, γ = 112.69°
Element x y z (fractional)
Pm  0.628  0.257  0.407
Pm  0.372  0.743  0.593
Pm  0.000  0.000  0.000
Tm  0.318  0.637  0.210
Tm  0.682  0.363  0.790
Sn  0.080  0.160  0.630
Sn  0.920  0.840  0.370
Sn  0.334  0.668  0.901
Sn  0.666  0.332  0.099

=====

[8]
PmTmSn6: relaxed, PBE.

The energy relative to the elements is -430 meV per atom. The calculation puts the magnetization at 0.00 μB per formula unit. Its density of states at the Fermi level is 3.47 states/eV/f.u. For the calculated volume, the calculation gives 211 Å³/cell. The calculated total energy comes out at -36.68 eV for the cell shown.

a = 4.797 Å, b = 4.797 Å, c = 9.189 Å
α = 90.00°, β = 90.00°, γ = 90.00°
Element x y z (fractional)
Sn  0.500  0.500  0.500
Sn  0.500  0.000  0.256
Sn  0.000  0.500  0.744
Sn  0.500  0.000  0.744
Sn  0.000  0.500  0.256
Sn  0.500  0.500  0.000
Tm  0.000  0.000  0.500
Pm  0.000  0.000  0.000

=====

[9]
Pm2Tm2Sn3: relaxed, PBE.

The energy relative to the elements is -518 meV per atom. The calculation puts the magnetization at 0.00 μB per formula unit. Its density of states at the Fermi level is 6.07 states/eV/f.u. For the calculated volume, the calculation gives 207 Å³/cell. The calculated total energy comes out at -34.08 eV for the cell shown.

a = 4.945 Å, b = 5.172 Å, c = 8.846 Å
α = 73.02°, β = 106.23°, γ = 90.00°
Element x y z (fractional)
Pm  0.880  0.619  0.761
Pm  0.120  0.381  0.239
Sn  0.000  0.000  0.000
Sn  0.747  0.254  0.493
Sn  0.253  0.746  0.507
Tm  0.378  0.122  0.755
Tm  0.622  0.878  0.245

=====

[10]
Pm5TmSn2: relaxed, PBE.

The energy relative to the elements is -303 meV per atom. The calculation puts the magnetization at 0.00 μB per formula unit. Its density of states at the Fermi level is 12.13 states/eV/f.u. For the calculated volume, the calculation gives 508 Å³/cell. The calculated total energy comes out at -77.30 eV for the cell shown.

a = 4.761 Å, b = 6.314 Å, c = 18.260 Å
α = 90.00°, β = 90.00°, γ = 112.15°
Element x y z (fractional)
Tm  0.754  0.507  0.750
Tm  0.246  0.493  0.250
Pm  0.348  0.696  0.037
Pm  0.652  0.304  0.537
Pm  0.470  0.940  0.750
Pm  0.530  0.060  0.250
Pm  0.956  0.912  0.604
Pm  0.044  0.088  0.396
Pm  0.348  0.696  0.463
Pm  0.044  0.088  0.104
Pm  0.956  0.912  0.896
Pm  0.652  0.304  0.963
Sn  0.748  0.497  0.362
Sn  0.252  0.503  0.862
Sn  0.748  0.497  0.138
Sn  0.252  0.503  0.638

=====

[11]
Pm5Tm2Sn12: relaxed, PBE.

The energy relative to the elements is -358 meV per atom. The calculation puts the magnetization at 0.00 μB per formula unit. Its density of states at the Fermi level is 8.81 states/eV/f.u. For the calculated volume, the calculation gives 598 Å³/cell. The calculated total energy comes out at -87.53 eV for the cell shown.

a = 7.138 Å, b = 9.181 Å, c = 10.253 Å
α = 103.71°, β = 90.00°, γ = 112.88°
Element x y z (fractional)
Pm  0.357  0.714  0.213
Pm  0.643  0.286  0.787
Pm  0.253  0.507  0.733
Pm  0.747  0.493  0.267
Pm  0.000  0.000  0.500
Sn  0.018  0.635  0.947
Sn  0.126  0.674  0.495
Sn  0.549  0.097  0.277
Sn  0.931  0.863  0.186
Sn  0.548  0.674  0.495
Sn  0.874  0.326  0.505
Sn  0.382  0.365  0.053
Sn  0.451  0.903  0.723
Sn  0.618  0.635  0.947
Sn  0.982  0.365  0.053
Sn  0.069  0.137  0.814
Sn  0.452  0.326  0.505
Tm  0.733  0.000  0.000
Tm  0.267  0.000  0.000

=====

[12]
Pm3TmSn6: relaxed, PBE.

The energy relative to the elements is -478 meV per atom. The calculation puts the magnetization at 0.00 μB per formula unit. Its density of states at the Fermi level is 6.37 states/eV/f.u. For the calculated volume, the calculation gives 583 Å³/cell. The calculated total energy comes out at -95.04 eV for the cell shown.

a = 7.223 Å, b = 9.667 Å, c = 8.384 Å
α = 90.00°, β = 94.72°, γ = 90.00°
Element x y z (fractional)
Pm  0.039  0.595  0.288
Pm  0.461  0.095  0.212
Pm  0.000  0.000  0.500
Pm  0.961  0.405  0.712
Pm  0.500  0.500  0.000
Pm  0.539  0.905  0.788
Sn  0.706  0.222  0.936
Sn  0.627  0.183  0.577
Sn  0.206  0.278  0.436
Sn  0.215  0.677  0.701
Sn  0.373  0.817  0.423
Sn  0.127  0.317  0.077
Sn  0.873  0.683  0.923
Sn  0.294  0.778  0.064
Sn  0.285  0.177  0.799
Sn  0.785  0.323  0.299
Sn  0.715  0.823  0.201
Sn  0.794  0.722  0.564
Tm  0.500  0.500  0.500
Tm  0.000  0.000  0.000

=====

Which of these has the highest calculated volume?
Pm5Tm2Sn12